[1]
Density functional theory data (PBE) for crystalline Pr2Tm4In5 at its relaxed geometry.

a = 6.329 Å, b = 10.580 Å, c = 20.445 Å
α = 90.00°, β = 90.00°, γ = 90.00°
Space group Fmmm (No. 69)
One atom of each set of equivalent atoms:
Pr (0.000, 0.000, 0.111)
Tm (0.000, 0.169, 0.373)
In (0.000, 0.000, 0.500)
In (0.250, 0.250, 0.000)
In (0.250, 0.250, 0.250)

Results
- ΔH_f (0 K): -1.78 eV/f.u.
- Crystal system: orthorhombic
- Total DFT energy (no corrections): -42.91 eV/f.u.

[2]
Density functional theory data (PBE) for crystalline BPbC2Se at its relaxed geometry.

a = 3.679 Å, b = 3.679 Å, c = 6.264 Å
α = 90.00°, β = 90.00°, γ = 90.00°
Space group P4/mmm (No. 123)
One atom of each set of equivalent atoms:
B (0.000, 0.000, 0.000)
Pb (0.000, 0.000, 0.500)
C (0.000, 0.500, 0.000)
Se (0.500, 0.500, 0.500)

Results
- Crystal system: tetragonal
- Formation energy (no corrections): 196.9 kJ per mole of atoms
- Total DFT energy (no corrections): -22.12 eV/f.u.

[3]
Density functional theory data (PBE) for crystalline V2Ru3Rh at its relaxed geometry.

a = 5.784 Å, b = 11.233 Å, c = 5.860 Å
α = 90.00°, β = 90.00°, γ = 90.00°
Space group Ibam (No. 72)
One atom of each set of equivalent atoms:
V (0.194, 0.140, 0.000)
Ru (0.000, 0.000, 0.250)
Ru (0.000, 0.272, 0.250)
Rh (0.000, 0.500, 0.000)

Results
- ΔH_f (0 K): 1.94 eV/f.u.
- Crystal system: orthorhombic
- Total DFT energy (no corrections): -51.47 eV/f.u.
- Distance to the lowest polymorph of the same formula: 445 meV per atom

[4]
Density functional theory data (PBE) for crystalline CdRe2Bi at its relaxed geometry.

a = 4.160 Å, b = 4.160 Å, c = 19.927 Å
α = 90.00°, β = 90.00°, γ = 90.00°
Space group I-42d (No. 122)
One atom of each set of equivalent atoms:
Cd (0.000, 0.000, 0.000)
Re (0.162, 0.250, 0.125)
Bi (0.000, 0.000, 0.500)

Results
- ΔH_f (0 K): 4.04 eV/f.u.
- Crystal system: tetragonal
- Total DFT energy (no corrections): -25.65 eV/f.u.
- Distance to the lowest polymorph of the same formula: 0 meV per atom

[5]
Density functional theory data (PBE) for crystalline VTcH4 at its relaxed geometry.

a = 4.268 Å, b = 4.268 Å, c = 8.559 Å
α = 90.00°, β = 90.00°, γ = 90.00°
Space group I4_1/amd (No. 141, origin choice 2)
One atom of each set of equivalent atoms:
V (0.000, 0.250, 0.375)
Tc (0.000, 0.250, 0.875)
H (0.245, 0.000, 0.500)

Results
- Crystal system: tetragonal
- Total DFT energy (no corrections): -33.25 eV/f.u.

[6]
Density functional theory data (PBE) for crystalline BaNaSrGa at its relaxed geometry.

a = 8.383 Å, b = 8.383 Å, c = 8.383 Å
α = 90.00°, β = 90.00°, γ = 90.00°
Space group F-43m (No. 216)
One atom of each set of equivalent atoms:
Ba (0.000, 0.000, 0.000)
Na (0.250, 0.250, 0.250)
Sr (0.000, 0.000, 0.500)
Ga (0.250, 0.250, 0.750)

Results
- ΔH_f (0 K): -0.56 eV/f.u.
- Crystal system: cubic
- Total DFT energy (no corrections): -8.51 eV/f.u.
- Distance to the lowest polymorph of the same formula: 68 meV per atom

[7]
Density functional theory data (PBE) for crystalline Sc4TiZn5 at its relaxed geometry.

a = 3.311 Å, b = 3.311 Å, c = 16.524 Å
α = 90.00°, β = 90.00°, γ = 90.00°
Space group P4/mmm (No. 123)
One atom of each set of equivalent atoms:
Sc (0.000, 0.000, 0.103)
Sc (0.000, 0.000, 0.308)
Ti (0.000, 0.000, 0.500)
Zn (0.500, 0.500, 0.000)
Zn (0.500, 0.500, 0.206)
Zn (0.500, 0.500, 0.411)

Results
- ΔH_f (0 K): -3.23 eV/f.u.
- Crystal system: tetragonal
- Total DFT energy (no corrections): -42.82 eV/f.u.

[8]
Density functional theory data (PBE) for crystalline BMo4C at its relaxed geometry.

a = 7.147 Å, b = 7.246 Å, c = 3.070 Å
α = 90.00°, β = 90.00°, γ = 90.00°
Space group Cmmm (No. 65)
One atom of each set of equivalent atoms:
B (0.000, 0.000, 0.000)
Mo (0.000, 0.208, 0.500)
Mo (0.201, 0.500, 0.000)
C (0.000, 0.500, 0.500)

Results
- ΔH_f (0 K): 0.01 eV/f.u.
- Crystal system: orthorhombic
- Total DFT energy (no corrections): -59.22 eV/f.u.
- Distance to the lowest polymorph of the same formula: 2 meV per atom

[9]
Density functional theory data (PBE) for crystalline Rb2CdF3 at its relaxed geometry.

a = 12.463 Å, b = 5.946 Å, c = 7.527 Å
α = 90.00°, β = 107.57°, γ = 90.00°
Space group C2/c (No. 15)
One atom of each set of equivalent atoms:
Rb (0.165, 0.001, 0.083)
Cd (0.000, 0.489, 0.750)
F (0.000, 0.099, 0.750)
F (0.152, 0.498, 0.576)

Results
- Crystal system: monoclinic
- Formation energy (no corrections): -208.3 kJ per mole of atoms
- Total DFT energy (no corrections): -21.42 eV/f.u.

[10]
Density functional theory data (PBE) for crystalline Dy4Ho3Sc5 at its relaxed geometry.

a = 15.338 Å, b = 5.668 Å, c = 9.232 Å
α = 90.00°, β = 119.69°, γ = 90.00°
Space group C2/m (No. 12)
One atom of each set of equivalent atoms:
Dy (0.086, 0.000, 0.444)
Dy (0.210, 0.000, 0.883)
Ho (0.000, 0.500, 0.000)
Ho (0.227, 0.000, 0.259)
Sc (0.000, 0.000, 0.000)
Sc (0.062, 0.500, 0.702)
Sc (0.167, 0.500, 0.363)

Results
- ΔH_f (0 K): 2.94 eV/f.u.
- Crystal system: monoclinic
- Total DFT energy (no corrections): -60.86 eV/f.u.

[11]
Density functional theory data (PBE) for crystalline AlHgPO2 at its relaxed geometry.

a = 3.641 Å, b = 3.641 Å, c = 5.656 Å
α = 90.00°, β = 90.00°, γ = 90.00°
Space group P4/mmm (No. 123)
One atom of each set of equivalent atoms:
Al (0.000, 0.000, 0.000)
Hg (0.500, 0.500, 0.500)
P (0.000, 0.000, 0.500)
O (0.000, 0.500, 0.000)

Results
- Crystal system: tetragonal
- Formation energy (no corrections): -75.5 kJ per mole of atoms
- Total DFT energy (no corrections): -23.28 eV/f.u.
- Distance to the lowest polymorph of the same formula: 0 meV per atom

[12]
Density functional theory data (PBE) for crystalline La2YBi2 at its relaxed geometry.

a = 8.983 Å, b = 8.983 Å, c = 4.181 Å
α = 90.00°, β = 90.00°, γ = 90.00°
Space group P4/mbm (No. 127)
One atom of each set of equivalent atoms:
La (0.130, 0.370, 0.000)
Y (0.000, 0.000, 0.000)
Bi (0.173, 0.673, 0.500)

Results
- ΔH_f (0 K): -2.40 eV/f.u.
- Crystal system: tetragonal
- Total DFT energy (no corrections): -26.48 eV/f.u.
- Distance to the lowest polymorph of the same formula: 356 meV per atom

[13]
Density functional theory data (PBE) for crystalline NbCoPt6 at its relaxed geometry.

a = 8.903 Å, b = 3.926 Å, c = 7.845 Å
α = 90.00°, β = 116.17°, γ = 90.00°
Space group C2/m (No. 12)
One atom of each set of equivalent atoms:
Nb (0.000, 0.000, 0.000)
Co (0.000, 0.000, 0.500)
Pt (0.000, 0.500, 0.251)
Pt (0.249, 0.000, 0.872)
Pt (0.249, 0.500, 0.622)

Results
- ΔH_f (0 K): -2.88 eV/f.u.
- Crystal system: monoclinic
- Total DFT energy (no corrections): -56.30 eV/f.u.

[14]
Density functional theory data (PBE) for crystalline Pu3Tc at its relaxed geometry.

a = 6.740 Å, b = 6.740 Å, c = 6.740 Å
α = 90.00°, β = 90.00°, γ = 90.00°
Space group Fm-3m (No. 225)
One atom of each set of equivalent atoms:
Pu (0.000, 0.000, 0.000)
Pu (0.250, 0.250, 0.250)
Tc (0.000, 0.000, 0.500)

Results
- ΔH_f (0 K): 0.41 eV/f.u.
- Crystal system: cubic
- Total DFT energy (no corrections): -52.95 eV/f.u.